DFT (PBE) results for crystalline Pm2YPuSe4 at its relaxed geometry.

## Properties
electronic total energy	-58.319	eV/f.u.
SG	P2/m
total magnetic moment	0.73	μB per atom
energy relative to the elements, uncorrected	-14.1	eV per formula unit
mass density	7.68	g cm⁻³

Cell: 4.1339 7.1978 7.2169 Å, 109.15 90.00 90.00°
Closest atoms and distances in Å follow each position.
Positions (direct):
Pm  0.5000  0.0000  0.5000  6 Se 2.96
Pm  0.0000  0.5000  0.5000  6 Se 2.97-2.98
Y  0.0000  0.0000  0.0000  6 Se 2.90
Pu  0.5000  0.5000  0.0000  6 Se 2.92
Se  0.5000  0.2454  0.2419  2 Y 2.90, 1 Pu 2.92, 3 Pm 2.96-2.98
Se  0.5000  0.7546  0.7581  2 Y 2.90, 1 Pu 2.92, 3 Pm 2.96-2.98
Se  0.0000  0.2504  0.7566  1 Y 2.90, 2 Pu 2.92, 3 Pm 2.96-2.97
Se  0.0000  0.7496  0.2434  1 Y 2.90, 2 Pu 2.92, 3 Pm 2.96-2.97


DFT (PBE) results for crystalline TlPd2Au at its relaxed geometry.

## Properties
electronic total energy	-15.659	eV/f.u.
E_form	36	kJ/mol of formula units
SG	I-42d
total magnetic moment	0.00	μB per atom
mass density	12.88	g cm⁻³
ΔE to the lowest computed polymorph	0.288	eV per atom

Cell: 4.0592 4.0592 10.0340 Å, 78.33 78.33 90.00°
Closest atoms and distances in Å follow each position.
Positions (direct):
Tl  0.0000  0.0000  0.0000  4 Pd 2.81, 4 Au 2.87
Tl  0.7500  0.2500  0.5000  4 Pd 2.81, 4 Au 2.87
Au  0.5000  0.5000  0.0000  4 Pd 2.79, 4 Tl 2.87
Au  0.2500  0.7500  0.5000  4 Pd 2.79, 4 Tl 2.87
Pd  0.6182  0.1250  0.2500  2 Au 2.79, 2 Tl 2.81, 4 Pd 2.83-2.91
Pd  0.1318  0.6250  0.2500  2 Au 2.79, 2 Tl 2.81, 4 Pd 2.83-2.91
Pd  0.3750  0.3818  0.7500  2 Au 2.79, 2 Tl 2.81, 4 Pd 2.83-2.91
Pd  0.8750  0.8682  0.7500  2 Au 2.79, 2 Tl 2.81, 4 Pd 2.83-2.91


DFT (PBE) results for crystalline CaErRh at its relaxed geometry.

## Properties
electronic total energy	-15.450	eV/f.u.
E_form	-148	kJ/mol of formula units
SG	I4mm
total magnetic moment	0.00	μB per atom
mass density	6.70	g cm⁻³
ΔE to the lowest computed polymorph	0.000	eV per atom

Cell: 3.4243 3.4243 6.9898 Å, 104.18 104.18 90.00°
Closest atoms and distances in Å follow each position.
Positions (direct):
Ca  0.0326  0.0326  0.0652  4 Rh 3.08, 1 Er 3.37, 4 Ca 3.42
Rh  0.6780  0.6780  0.3560  4 Er 2.83, 4 Ca 3.08
Er  0.2894  0.2894  0.5788  4 Rh 2.83


DFT (PBE) results for crystalline Ti8Nb3Rh2 at its relaxed geometry.

## Properties
electronic total energy	-110.182	eV/f.u.
E_form	-204	kJ/mol of formula units
SG	P2/m
total magnetic moment	0.00	μB per atom
mass density	6.41	g cm⁻³

Cell: 4.3663 6.8632 7.8932 Å, 71.85 90.00 90.00°
Closest atoms and distances in Å follow each position.
Positions (direct):
Ti  0.0000  0.3797  0.3833  2 Rh 2.64, 1 Nb 2.74, 3 Ti 2.82-2.83
Ti  0.0000  0.6203  0.6167  2 Rh 2.64, 1 Nb 2.74, 3 Ti 2.82-2.83
Ti  0.0000  0.8590  0.2334  2 Rh 2.65, 4 Nb 2.83-2.87, 1 Ti 2.96
Ti  0.0000  0.1410  0.7666  2 Rh 2.65, 4 Nb 2.83-2.87, 1 Ti 2.96
Ti  0.5000  0.8769  0.6920  2 Rh 2.66-2.70, 3 Nb 2.81-2.88, 4 Ti 2.85-2.98
Ti  0.5000  0.4418  0.8374  1 Rh 2.59, 3 Ti 2.82-2.85, 2 Nb 2.83
Ti  0.5000  0.5582  0.1626  1 Rh 2.59, 3 Ti 2.82-2.85, 2 Nb 2.83
Ti  0.5000  0.1231  0.3080  2 Rh 2.66-2.70, 3 Nb 2.81-2.88, 4 Ti 2.85-2.98
Nb  0.5000  0.0000  0.0000  8 Ti 2.81-2.90, 4 Nb 3.11
Nb  0.0000  0.2895  0.0689  7 Ti 2.74-2.88, 1 Nb 2.75
Nb  0.0000  0.7105  0.9311  7 Ti 2.74-2.88, 1 Nb 2.75
Rh  0.5000  0.7153  0.4211  7 Ti 2.59-2.70, 1 Rh 2.83
Rh  0.5000  0.2847  0.5789  7 Ti 2.59-2.70, 1 Rh 2.83


What is the mass density in the fourth record?
6.41 g cm⁻³


The highest total magnetic moment belongs to which entry?
Pm2YPuSe4